Crystalline AlMoRu3 at its relaxed geometry, computed with PBE.

- Energy: -7.361 eV per atom
- Magnetization: 0.00 μB per atom
- Formation energy from the elements: 1119 meV per atom
- ΔE to the lowest computed polymorph: 0.0 meV/atom

Cell lengths 4.332, 4.332, 4.332 Å; angles 90.00, 90.00, 90.00 degrees
Sites, in units of the cell vectors:
Al 0.000 0.000 0.000
Mo 0.500 0.500 0.500
Ru 0.000 0.000 0.500
Ru 0.000 0.500 0.000
Ru 0.500 0.000 0.000